The following is a meta-GGA SCAN calculation of a crystal of V2Bi4O11 relaxed with PBEsol, from the Alexandria database.

## Properties
Distance to the lowest polymorph of the same formula = 0.631 eV per formula unit
Uncorrected formation energy = -1.74 eV per atom

Cell lengths 6.9435, 8.4264, 9.4754 Å; angles 90.00, 90.00, 100.82 degrees
Fractional coordinates of all 34 atoms:
Bi1 0.6996 0.5481 0.4146
Bi2 0.3004 0.4519 0.9146
Bi3 0.0438 0.3172 0.5432
Bi4 0.7930 0.2527 0.1722
Bi5 0.5596 0.0080 0.4353
Bi6 0.9562 0.6828 0.0432
Bi7 0.2070 0.7473 0.6722
Bi8 0.4404 0.9920 0.9353
O1 0.5645 0.2538 0.8708
O2 0.2519 0.7072 0.9022
O3 0.1656 0.1304 0.9006
O4 0.1795 0.5519 0.1460
O5 0.3657 0.4281 0.3693
O6 0.8205 0.4481 0.6460
O7 0.5464 0.0657 0.2166
O8 0.0543 0.5693 0.4254
O9 0.7506 0.5281 0.1942
O10 0.2494 0.4719 0.6942
O11 0.9457 0.4307 0.9254
O12 0.7481 0.2928 0.4022
O13 0.4536 0.9343 0.7166
O14 0.8344 0.8696 0.4006
O15 0.0299 0.1562 0.2845
O16 0.7721 0.0094 0.9687
O17 0.9701 0.8438 0.7845
O18 0.8790 0.1398 0.6953
O19 0.1210 0.8602 0.1953
O20 0.2279 0.9906 0.4687
O21 0.6343 0.5719 0.8693
O22 0.4355 0.7462 0.3708
V1 0.2604 0.5845 0.3188
V2 0.7396 0.4155 0.8188
V3 0.0548 0.9662 0.3353
V4 0.9452 0.0338 0.8353